This record from Alexandria describes a relaxed structure of Ac2MgGa7. The functional is PBE.

Lattice parameters (Å, degrees): 4.541 4.541 10.882 90.00 90.00 90.00
Sites, in units of the cell vectors:
Ac1 0.500 0.000 0.742
Ac2 0.000 0.500 0.258
Ga1 0.000 0.000 0.500
Ga2 0.000 0.000 0.000
Ga3 0.500 0.000 0.374
Ga4 0.000 0.500 0.626
Ga5 0.500 0.000 0.139
Ga6 0.500 0.500 0.500
Ga7 0.000 0.500 0.861
Mg1 0.500 0.500 0.000

* E_tot: -3.573 eV per atom
* SG: No. 115
* energy of formation: -0.47 eV/atom